Record 1
VASP calculation (GGA-PBE) on SrTeIr after structural relaxation.

a b c (Å): 9.264 4.493 7.722
angles (deg): 90.00 90.00 90.00
Space group Pnma (No. 62)
One atom of each set of equivalent atoms:
Sr: 0.000 0.250 0.250 [4 per cell]
Te: 0.250 0.250 0.584 [4 per cell]
Ir: 0.250 0.250 0.919 [4 per cell]

Properties
The value obtained for the formation energy without anion corrections is -0.65 eV/atom. The energy above the most stable polymorph in this dataset is 0.000 eV/atom. As for the crystal system: orthorhombic.

***

Record 2
VASP calculation (GGA-PBE) on PmSm4Sc3 after structural relaxation.

a b c (Å): 15.750 5.640 5.887
angles (deg): 90.00 111.44 90.00
Space group C2/m (No. 12)
One atom of each set of equivalent atoms:
Pm: 0.000 0.000 0.000 [2 per cell]
Sm: 0.131 0.000 0.577 [4 per cell]
Sm: 0.246 0.500 0.806 [4 per cell]
Sc: 0.000 0.500 0.500 [2 per cell]
Sc: 0.127 0.500 0.178 [4 per cell]

Properties
The energy above the most stable polymorph in this dataset is 0.072 eV/atom. The energy relative to the elements comes out at 127 meV per atom. As for the crystal system: monoclinic.

***

Record 3
VASP calculation (GGA-PBE) on ScAuSe2 after structural relaxation.

a b c (Å): 3.9966 3.9966 23.2216
angles (deg): 90.00 90.00 120.00
Space group R-3m (No. 166, hexagonal axes)
One atom of each set of equivalent atoms:
Sc: 0.0000 0.0000 0.0000 [3 per cell]
Au: 0.0000 0.0000 0.5000 [3 per cell]
Se: 0.0000 0.0000 0.3953 [6 per cell]

Properties
The value obtained for the formation energy without anion corrections is -1.03 eV/atom. As for the crystal system: trigonal.

***

Record 4
VASP calculation (GGA-PBE) on Y2AgHPt after structural relaxation.

a b c (Å): 4.910 4.910 3.830
angles (deg): 90.00 90.00 90.00
Space group P4/mmm (No. 123)
One atom of each set of equivalent atoms:
Y: 0.000 0.500 0.000 [2 per cell]
Ag: 0.000 0.000 0.500 [1 per cell]
H: 0.000 0.000 0.000 [1 per cell]
Pt: 0.500 0.500 0.500 [1 per cell]

Properties
The energy above the most stable polymorph in this dataset is 0.034 eV/atom. As for the crystal system: tetragonal.

***

Record 5
VASP calculation (GGA-PBE) on Cd8Hg2Sb after structural relaxation.

a b c (Å): 19.204 4.504 6.624
angles (deg): 90.00 105.97 90.00
Space group C2/m (No. 12)
One atom of each set of equivalent atoms:
Cd: 0.030 0.000 0.225 [4 per cell]
Cd: 0.101 0.500 0.952 [4 per cell]
Cd: 0.156 0.500 0.479 [4 per cell]
Cd: 0.202 0.000 0.790 [4 per cell]
Hg: 0.190 0.000 0.226 [4 per cell]
Sb: 0.000 0.500 0.500 [2 per cell]

Properties
The value obtained for the formation energy without anion corrections is 0.04 eV/atom. The energy above the most stable polymorph in this dataset is 0.000 eV/atom. As for the crystal system: monoclinic.

***

Record 6
VASP calculation (GGA-PBE) on Cs3AgTe2 after structural relaxation.

a b c (Å): 9.236 12.767 12.047
angles (deg): 90.00 110.30 90.00
Space group P2_1/c (No. 14)
One atom of each set of equivalent atoms:
Cs: 0.211 0.018 0.389 [4 per cell]
Cs: 0.243 0.064 0.975 [4 per cell]
Cs: 0.278 0.725 0.185 [4 per cell]
Ag: 0.223 0.174 0.676 [4 per cell]
Te: 0.021 0.705 0.371 [4 per cell]
Te: 0.458 0.042 0.730 [4 per cell]

Properties
The value obtained for the formation energy without anion corrections is -0.85 eV/atom. The energy above the most stable polymorph in this dataset is 0.000 eV/atom. As for the crystal system: monoclinic.